Entry a
## Ho3TmNi (PBE)

Data for a relaxed structure of Ho3TmNi.

Output
Fermi-level density of states   9.417 states/eV per cell
Space group   No. 221
ρ   8.20 Mg/m³

Cell lengths 5.2691, 5.2691, 5.2691 Å; angles 90.00, 90.00, 90.00 degrees
Element x y z (fractional)
Ho (0.5000, 0.0000, 0.0000)
Tm (0.5000, 0.5000, 0.5000)
Ho (0.0000, 0.5000, 0.0000)
Ni (0.0000, 0.0000, 0.0000)
Ho (0.0000, 0.0000, 0.5000)


Entry b
## Ho3TmNi (PBE)

Data for a relaxed structure of Ho3TmNi.

Output
Fermi-level density of states   13.344 states/eV per cell
Space group   No. 8
ρ   9.05 Mg/m³

Cell lengths 3.5796, 6.2513, 12.4945 Å; angles 88.19, 81.76, 73.36 degrees
Element x y z (fractional)
Tm (0.2217, 0.5606, 0.9960)
Ho (0.4373, 0.6142, 0.5112)
Ho (0.9902, 0.1057, 0.9138)
Ho (0.7754, 0.0538, 0.3953)
Ni (0.7778, 0.3222, 0.1222)
Ho (0.7694, 0.7070, 0.7542)
Tm (0.1158, 0.4984, 0.2701)
Ni (0.4328, 0.3472, 0.7872)
Ho (0.4434, 0.9584, 0.1549)
Ho (0.0971, 0.1692, 0.6366)


Relative energies, in eV/atom, with the most stable structure set to zero: entry a 0.161; entry b 0.000.


Entry a
## Ho3TmNi2 (PBE)

Data for a relaxed structure of Ho3TmNi2.

Output
Fermi-level density of states   7.865 states/eV per cell
Space group   No. 12
ρ   8.44 Mg/m³

Cell lengths 4.0419, 8.2190, 10.0049 Å; angles 74.63, 78.35, 75.77 degrees
Element x y z (fractional)
Ho (0.3142, 0.3122, 0.0593)
Ho (0.0614, 0.0666, 0.8107)
Tm (0.5624, 0.5622, 0.3129)
Ho (0.6858, 0.6878, 0.9407)
Ho (0.8118, 0.8129, 0.5636)
Ni (0.6243, 0.1284, 0.6230)
Ni (0.8744, 0.3802, 0.8710)
Ho (0.1882, 0.1871, 0.4364)
Ni (0.1256, 0.6198, 0.1290)
Ho (0.9386, 0.9334, 0.1893)
Ni (0.3757, 0.8716, 0.3770)
Tm (0.4376, 0.4378, 0.6871)


Entry b
## Ho3TmNi2 (PBE)

Data for a relaxed structure of Ho3TmNi2.

Output
Fermi-level density of states   13.326 states/eV per cell
Space group   No. 12
ρ   8.98 Mg/m³

Cell lengths 3.8472, 8.2105, 9.7759 Å; angles 76.91, 78.65, 76.45 degrees
Element x y z (fractional)
Tm (0.8447, 0.5641, 0.7466)
Ni (0.7688, 0.9110, 0.5514)
Ni (0.7685, 0.4118, 0.0512)
Ho (0.5822, 0.7748, 0.0608)
Ho (0.4178, 0.2252, 0.9392)
Ho (0.8453, 0.0636, 0.2459)
Ho (0.5817, 0.2777, 0.5590)
Ho (0.1547, 0.9364, 0.7541)
Tm (0.1553, 0.4359, 0.2534)
Ni (0.2312, 0.0890, 0.4486)
Ho (0.4183, 0.7223, 0.4410)
Ni (0.2315, 0.5882, 0.9488)


Relative energies, in eV/atom, with the most stable structure set to zero: entry a 0.098; entry b 0.000.


Entry a
## Ho2TmNi2 (PBE)

Data for a relaxed structure of Ho2TmNi2.

Output
Fermi-level density of states   5.185 states/eV per cell
Space group   No. 12
ρ   9.10 Mg/m³

Cell lengths 3.7670, 5.5435, 5.9276 Å; angles 105.68, 108.53, 90.00 degrees
Element x y z (fractional)
Ni (0.6982, 0.1211, 0.3964)
Tm (0.0000, 0.0000, 0.0000)
Ho (0.3471, 0.3955, 0.6942)
Ho (0.6529, 0.6045, 0.3058)
Ni (0.3018, 0.8789, 0.6036)


Entry b
## Ho2TmNi2 (PBE)

Data for a relaxed structure of Ho2TmNi2.

Output
Fermi-level density of states   9.663 states/eV per cell
Space group   No. 15
ρ   9.15 Mg/m³

Cell lengths 5.6578, 6.3557, 7.0659 Å; angles 99.46, 90.00, 116.43 degrees
Element x y z (fractional)
Ni (0.2935, 0.3255, 0.5121)
Ho (0.2289, 0.6790, 0.3453)
Ni (0.0320, 0.3255, 0.0121)
Ho (0.7711, 0.3210, 0.6547)
Ho (0.5500, 0.3210, 0.1547)
Tm (0.0922, 0.0000, 0.7500)
Tm (0.9078, 0.0000, 0.2500)
Ni (0.7065, 0.6745, 0.4879)
Ho (0.4500, 0.6790, 0.8453)
Ni (0.9680, 0.6745, 0.9879)


Relative energies, in eV/atom, with the most stable structure set to zero: entry a 0.098; entry b 0.000.


Entry a
## Y2HoNi (PBE)

Data for a relaxed structure of Y2HoNi.

Output
Fermi-level density of states   5.064 states/eV per cell
Space group   No. 166
ρ   6.08 Mg/m³

Cell lengths 3.6586, 3.6586, 9.6971 Å; angles 79.13, 79.13, 60.00 degrees
Element x y z (fractional)
Ho (0.5000, 0.5000, 0.5000)
Ni (0.0000, 0.0000, 0.0000)
Y (0.2720, 0.2720, 0.1842)
Y (0.7280, 0.7280, 0.8158)


Entry b
## Y2HoNi (PBE)

Data for a relaxed structure of Y2HoNi.

Output
Fermi-level density of states   5.703 states/eV per cell
Space group   No. 123
ρ   6.46 Mg/m³

Cell lengths 3.4530, 3.4530, 8.6597 Å; angles 90.00, 90.00, 90.00 degrees
Element x y z (fractional)
Ho (0.5000, 0.5000, 0.5000)
Ni (0.5000, 0.5000, 0.0000)
Y (0.0000, 0.0000, 0.8115)
Y (0.0000, 0.0000, 0.1885)


Relative energies, in eV/atom, with the most stable structure set to zero: entry a 0.087; entry b 0.000.


Entry a
## Y2HoNi (PBE)

Data for a relaxed structure of Y2HoNi.

Output
Fermi-level density of states   12.163 states/eV per cell
Space group   No. 63
ρ   6.34 Mg/m³

Cell lengths 3.6213, 6.2968, 9.6261 Å; angles 90.00, 90.00, 106.70 degrees
Element x y z (fractional)
Ho (0.9150, 0.8307, 0.2500)
Y (0.6361, 0.2726, 0.4292)
Y (0.3639, 0.7274, 0.5708)
Y (0.3639, 0.7274, 0.9292)
Ho (0.0850, 0.1693, 0.7500)
Y (0.6361, 0.2726, 0.0708)
Ni (0.2407, 0.4828, 0.2500)
Ni (0.7593, 0.5172, 0.7500)


Entry b
## Y2HoNi (PBE)

Data for a relaxed structure of Y2HoNi.

Output
Fermi-level density of states   17.877 states/eV per cell
Space group   No. 62
ρ   6.38 Mg/m³

Cell lengths 6.3580, 6.8509, 9.6012 Å; angles 90.00, 90.00, 90.00 degrees
Element x y z (fractional)
Y (0.1794, 0.6784, 0.0661)
Ni (0.5467, 0.1101, 0.7500)
Y (0.6794, 0.8216, 0.9339)
Y (0.3206, 0.1784, 0.4339)
Ho (0.6413, 0.5351, 0.2500)
Ni (0.4533, 0.8899, 0.2500)
Y (0.1794, 0.6784, 0.4339)
Ho (0.1413, 0.9649, 0.7500)
Ho (0.3587, 0.4649, 0.7500)
Y (0.6794, 0.8216, 0.5661)
Ni (0.9533, 0.6101, 0.7500)
Ni (0.0467, 0.3899, 0.2500)
Y (0.3206, 0.1784, 0.0661)
Y (0.8206, 0.3216, 0.9339)
Ho (0.8587, 0.0351, 0.2500)
Y (0.8206, 0.3216, 0.5661)


Relative energies, in eV/atom, with the most stable structure set to zero: entry a 0.034; entry b 0.000.


Entry a
## YHoZnNi (PBE)

Data for a relaxed structure of YHoZnNi.

Output
Fermi-level density of states   3.583 states/eV per cell
Space group   No. 99
ρ   7.51 Mg/m³

Cell lengths 3.4627, 3.4627, 6.9686 Å; angles 90.00, 90.00, 90.00 degrees
Element x y z (fractional)
Ho (0.0000, 0.0000, 0.3736)
Zn (0.5000, 0.5000, 0.1118)
Ni (0.5000, 0.5000, 0.5999)
Y (0.0000, 0.0000, 0.8427)


Entry b
## YHoZnNi (PBE)

Data for a relaxed structure of YHoZnNi.

Output
Fermi-level density of states   2.592 states/eV per cell
Space group   No. 216
ρ   7.52 Mg/m³

Cell lengths 4.9057, 4.9057, 4.9057 Å; angles 60.00, 60.00, 60.00 degrees
Element x y z (fractional)
Zn (0.2500, 0.2500, 0.2500)
Y (0.5000, 0.5000, 0.5000)
Ho (0.0000, 0.0000, 0.0000)
Ni (0.7500, 0.7500, 0.7500)


Relative energies, in eV/atom, with the most stable structure set to zero: entry a 0.000; entry b 0.027.